A) {"formula": "PrEu2Sc", "functional": "PBE", "state": "optimized geometry", "cell": [[3.6287, 0.0000, 0.0000], [0.0000, 3.6287, 0.0000], [0.0000, 0.0000, 10.4859]], "species": ["Eu", "Eu", "Sc", "Pr"], "fractional_positions": [[0.0000, 0.0000, 0.7664], [0.0000, 0.0000, 0.2336], [0.5000, 0.5000, 0.0000], [0.5000, 0.5000, 0.5000]], "volume_a3_per_cell": 138.1, "rho_g_cm3": 5.89}

***

B) {"formula": "PrEu2Sc", "functional": "PBE", "state": "optimized geometry", "cell": [[5.2801, 0.0000, 0.0000], [0.0000, 5.1052, 0.0000], [0.0000, 0.0000, 5.1052]], "species": ["Eu", "Eu", "Pr", "Sc"], "fractional_positions": [[0.0000, 0.0000, 0.5000], [0.0000, 0.5000, 0.0000], [0.5000, 0.5000, 0.5000], [0.5000, 0.0000, 0.0000]], "volume_a3_per_cell": 137.6, "rho_g_cm3": 5.91}

***

C) {"formula": "PrEu2Sc", "functional": "PBE", "state": "optimized geometry", "cell": [[5.8017, 0.0000, 0.0000], [2.9009, 5.0245, 0.0000], [2.9009, 1.6748, 4.7371]], "species": ["Pr", "Sc", "Eu", "Eu"], "fractional_positions": [[0.5000, 0.5000, 0.5000], [0.0000, 0.0000, 0.0000], [0.7500, 0.7500, 0.7500], [0.2500, 0.2500, 0.2500]], "volume_a3_per_cell": 138.1, "rho_g_cm3": 5.89}

***

Stability, descending: A), B), C)

***

A) {"formula": "PrSm2Eu", "functional": "PBE", "state": "optimized geometry", "cell": [[3.7101, 0.0000, 0.0000], [0.0000, 3.7101, 0.0000], [0.0000, 0.0000, 10.4885]], "species": ["Eu", "Pr", "Sm", "Sm"], "fractional_positions": [[0.5000, 0.5000, 0.5000], [0.5000, 0.5000, 0.0000], [0.0000, 0.0000, 0.2390], [0.0000, 0.0000, 0.7610]], "volume_a3_per_cell": 144.4, "rho_g_cm3": 6.83}

***

B) {"formula": "PrSm2Eu", "functional": "PBE", "state": "optimized geometry", "cell": [[-0.9841, -5.6877, -1.1142], [4.4560, -3.8327, 0.1203], [0.3627, -3.9508, 4.3382]], "species": ["Eu", "Sm", "Pr", "Sm"], "fractional_positions": [[0.5000, 0.5000, 0.5000], [0.7500, 0.7500, 0.7500], [0.0000, 0.0000, 0.0000], [0.2500, 0.2500, 0.2500]], "volume_a3_per_cell": 143.7, "rho_g_cm3": 6.86}

***

C) {"formula": "PrSm2Eu", "functional": "PBE", "state": "optimized geometry", "cell": [[-2.7808, 0.6332, -2.6003], [4.0592, -0.6811, -4.5069], [-1.1983, -5.9822, -0.1752]], "species": ["Eu", "Sm", "Sm", "Pr"], "fractional_positions": [[0.5000, 0.0000, 0.0000], [0.0000, 0.0000, 0.5000], [0.0000, 0.5000, 0.0000], [0.5000, 0.5000, 0.5000]], "volume_a3_per_cell": 143.8, "rho_g_cm3": 6.86}

***

Stability, descending: A), C), B)

***

A) {"formula": "Pr2EuSn", "functional": "PBE", "state": "optimized geometry", "cell": [[-3.9353, -1.7309, 2.3706], [2.3682, -4.4150, 0.7077], [1.8823, 1.7108, 4.3739]], "species": ["Pr", "Pr", "Sn", "Eu"], "fractional_positions": [[0.0000, 0.0000, 0.5000], [0.0000, 0.5000, 0.0000], [0.5000, 0.0000, 0.0000], [0.5000, 0.5000, 0.5000]], "volume_a3_per_cell": 125.7, "rho_g_cm3": 7.30}

***

B) {"formula": "Pr2EuSn", "functional": "PBE", "state": "optimized geometry", "cell": [[5.6296, 0.0000, 0.0000], [2.8148, 4.8754, 0.0000], [2.8148, 1.6251, 4.5965]], "species": ["Sn", "Eu", "Pr", "Pr"], "fractional_positions": [[0.5000, 0.5000, 0.5000], [0.0000, 0.0000, 0.0000], [0.7500, 0.7500, 0.7500], [0.2500, 0.2500, 0.2500]], "volume_a3_per_cell": 126.2, "rho_g_cm3": 7.27}

***

C) {"formula": "Pr2EuSn", "functional": "PBE", "state": "optimized geometry", "cell": [[-2.6070, 0.7962, -2.3930], [-1.0812, -2.4945, -2.4012], [-9.6789, -4.5035, 6.2971]], "species": ["Pr", "Sn", "Eu", "Pr"], "fractional_positions": [[0.9049, 0.9049, 0.2852], [0.5000, 0.5000, 0.5000], [0.0000, 0.0000, 0.0000], [0.0951, 0.0951, 0.7148]], "volume_a3_per_cell": 139.2, "rho_g_cm3": 6.59}

***

Stability, descending: A), B), C)

***

A) {"formula": "PrEuSn2", "functional": "PBE", "state": "optimized geometry", "cell": [[4.5517, 0.0000, 0.0000], [0.0000, 5.0824, 0.0000], [0.0000, 0.0000, 5.0824]], "species": ["Sn", "Eu", "Pr", "Sn"], "fractional_positions": [[0.0000, 0.5000, 0.0000], [0.5000, 0.5000, 0.5000], [0.5000, 0.0000, 0.0000], [0.0000, 0.0000, 0.5000]], "volume_a3_per_cell": 117.6, "rho_g_cm3": 7.49}

***

B) {"formula": "PrEuSn2", "functional": "PBE", "state": "optimized geometry", "cell": [[3.9315, 0.0000, 0.0000], [1.9657, 3.4048, 0.0000], [1.9657, 1.1349, 9.6592]], "species": ["Sn", "Eu", "Pr", "Sn"], "fractional_positions": [[0.2497, 0.2497, 0.2510], [0.0000, 0.0000, 0.0000], [0.5000, 0.5000, 0.5000], [0.7503, 0.7503, 0.7490]], "volume_a3_per_cell": 129.3, "rho_g_cm3": 6.81}

***

C) {"formula": "PrEuSn2", "functional": "PBE", "state": "optimized geometry", "cell": [[5.5432, 0.0000, 0.0000], [2.7716, 4.8006, 0.0000], [2.7716, 1.6002, 4.5260]], "species": ["Eu", "Sn", "Pr", "Sn"], "fractional_positions": [[0.0000, 0.0000, 0.0000], [0.2500, 0.2500, 0.2500], [0.5000, 0.5000, 0.5000], [0.7500, 0.7500, 0.7500]], "volume_a3_per_cell": 120.4, "rho_g_cm3": 7.31}

***

D) {"formula": "PrEuSn2", "functional": "PBE", "state": "optimized geometry", "cell": [[-2.5159, 1.7213, -1.8672], [-1.3181, -3.1317, -1.1110], [-5.5889, -0.2406, 7.3090]], "species": ["Sn", "Pr", "Eu", "Sn"], "fractional_positions": [[0.0000, 0.0000, 0.2511], [0.5000, 0.5000, 0.5000], [0.5000, 0.5000, 0.0000], [0.0000, 0.0000, 0.7489]], "volume_a3_per_cell": 117.6, "rho_g_cm3": 7.49}

***

Stability, descending: D), A), C), B)

***

A) {"formula": "SrPr2Eu", "functional": "PBE", "state": "optimized geometry", "cell": [[3.7498, 0.0000, 0.0000], [1.8749, 3.2475, 0.0000], [1.8749, 1.0825, 13.4912]], "species": ["Eu", "Pr", "Pr", "Sr"], "fractional_positions": [[0.5000, 0.5000, 0.5000], [0.0903, 0.0903, 0.7292], [0.9097, 0.9097, 0.2708], [0.0000, 0.0000, 0.0000]], "volume_a3_per_cell": 164.3, "rho_g_cm3": 5.27}

***

B) {"formula": "SrPr2Eu", "functional": "PBE", "state": "optimized geometry", "cell": [[-0.8768, -0.6446, 6.0370], [2.3778, -4.8263, 2.9466], [4.6865, 0.7797, 3.8805]], "species": ["Pr", "Eu", "Sr", "Pr"], "fractional_positions": [[0.2500, 0.2500, 0.2500], [0.0000, 0.0000, 0.0000], [0.5000, 0.5000, 0.5000], [0.7500, 0.7500, 0.7500]], "volume_a3_per_cell": 163.2, "rho_g_cm3": 5.30}

***

Stability, descending: B), A)

***

A) {"formula": "SrPr2Eu", "functional": "PBE", "state": "optimized geometry", "cell": [[5.6662, 0.0000, 0.0000], [0.0000, 5.3456, 0.0000], [0.0000, 0.0000, 5.3456]], "species": ["Pr", "Sr", "Pr", "Eu"], "fractional_positions": [[0.0000, 0.0000, 0.5000], [0.5000, 0.0000, 0.0000], [0.0000, 0.5000, 0.0000], [0.5000, 0.5000, 0.5000]], "volume_a3_per_cell": 161.9, "rho_g_cm3": 5.35}

***

B) {"formula": "SrPr2Eu", "functional": "PBE", "state": "optimized geometry", "cell": [[3.8049, 0.0000, 0.0000], [0.0000, 3.8049, 0.0000], [0.0000, 0.0000, 11.1277]], "species": ["Pr", "Pr", "Sr", "Eu"], "fractional_positions": [[0.0000, 0.0000, 0.2351], [0.0000, 0.0000, 0.7649], [0.5000, 0.5000, 0.5000], [0.5000, 0.5000, 0.0000]], "volume_a3_per_cell": 161.1, "rho_g_cm3": 5.37}

***

Stability, descending: B), A)

***

A) {"formula": "Sr2PrEu", "functional": "PBE", "state": "optimized geometry", "cell": [[6.3536, 0.0000, 0.0000], [3.1768, 5.5024, 0.0000], [3.1768, 1.8341, 5.1877]], "species": ["Pr", "Eu", "Sr", "Sr"], "fractional_positions": [[0.0000, 0.0000, 0.0000], [0.5000, 0.5000, 0.5000], [0.2500, 0.2500, 0.2500], [0.7500, 0.7500, 0.7500]], "volume_a3_per_cell": 181.4, "rho_g_cm3": 4.29}

***

B) {"formula": "Sr2PrEu", "functional": "PBE", "state": "optimized geometry", "cell": [[3.8805, 0.0000, 0.0000], [1.9402, 3.3606, 0.0000], [1.9402, 1.1202, 14.1326]], "species": ["Pr", "Eu", "Sr", "Sr"], "fractional_positions": [[0.0000, 0.0000, 0.0000], [0.5000, 0.5000, 0.5000], [0.9134, 0.9134, 0.2599], [0.0866, 0.0866, 0.7401]], "volume_a3_per_cell": 184.3, "rho_g_cm3": 4.22}

***

Stability, descending: A), B)

***

A) {"formula": "Sr2PrEu", "functional": "PBE", "state": "optimized geometry", "cell": [[-0.8330, 4.3407, 0.1988], [-3.8752, -0.9726, 4.9980], [4.9471, 0.7669, 3.9850]], "species": ["Sr", "Eu", "Sr", "Pr"], "fractional_positions": [[0.0000, 0.0000, 0.5000], [0.5000, 0.5000, 0.5000], [0.0000, 0.5000, 0.0000], [0.5000, 0.0000, 0.0000]], "volume_a3_per_cell": 181.1, "rho_g_cm3": 4.29}

***

B) {"formula": "Sr2PrEu", "functional": "PBE", "state": "optimized geometry", "cell": [[3.9548, 0.0000, 0.0000], [0.0000, 3.9548, 0.0000], [0.0000, 0.0000, 11.6984]], "species": ["Pr", "Sr", "Eu", "Sr"], "fractional_positions": [[0.5000, 0.5000, 0.0000], [0.0000, 0.0000, 0.7619], [0.5000, 0.5000, 0.5000], [0.0000, 0.0000, 0.2381]], "volume_a3_per_cell": 183.0, "rho_g_cm3": 4.25}

***

Stability, descending: B), A)

***

A) {"formula": "PrEuTe2", "functional": "PBE", "state": "optimized geometry", "cell": [[4.5370, 0.0000, 0.0000], [2.2685, 3.9291, 0.0000], [2.2685, 1.3097, 7.5515]], "species": ["Te", "Pr", "Eu", "Te"], "fractional_positions": [[0.7498, 0.7498, 0.7507], [0.0000, 0.0000, 0.0000], [0.5000, 0.5000, 0.5000], [0.2502, 0.2502, 0.2493]], "volume_a3_per_cell": 134.6, "rho_g_cm3": 6.76}

***

B) {"formula": "PrEuTe2", "functional": "PBE", "state": "optimized geometry", "cell": [[-1.1991, 2.7415, 2.5556], [-4.9481, 0.2271, -2.5652], [-1.9346, -3.9952, 3.3780]], "species": ["Te", "Pr", "Te", "Eu"], "fractional_positions": [[0.0000, 0.5000, 0.0000], [0.5000, 0.5000, 0.5000], [0.0000, 0.0000, 0.5000], [0.5000, 0.0000, 0.0000]], "volume_a3_per_cell": 122.4, "rho_g_cm3": 7.43}

***

C) {"formula": "PrEuTe2", "functional": "PBE", "state": "optimized geometry", "cell": [[-4.0845, 3.5093, -1.4276], [-2.4205, -0.4290, -4.9994], [-5.2411, -1.8442, -0.4083]], "species": ["Pr", "Te", "Te", "Eu"], "fractional_positions": [[0.5000, 0.5000, 0.5000], [0.2500, 0.2500, 0.2500], [0.7500, 0.7500, 0.7500], [0.0000, 0.0000, 0.0000]], "volume_a3_per_cell": 122.3, "rho_g_cm3": 7.44}

***

Stability, descending: A), B), C)

***

A) {"formula": "Pr2EuTh", "functional": "PBE", "state": "optimized geometry", "cell": [[-2.7537, -1.3835, -1.9300], [0.4312, -0.6936, -3.5432], [3.2019, -12.5076, 0.9722]], "species": ["Eu", "Th", "Pr", "Pr"], "fractional_positions": [[0.0000, 0.0000, 0.0000], [0.5000, 0.5000, 0.5000], [0.0919, 0.0919, 0.7244], [0.9081, 0.9081, 0.2756]], "volume_a3_per_cell": 146.3, "rho_g_cm3": 7.56}

***

B) {"formula": "Pr2EuTh", "functional": "PBE", "state": "optimized geometry", "cell": [[5.8745, 0.0000, 0.0000], [2.9372, 5.0875, 0.0000], [2.9372, 1.6958, 4.7965]], "species": ["Eu", "Pr", "Pr", "Th"], "fractional_positions": [[0.0000, 0.0000, 0.0000], [0.2500, 0.2500, 0.2500], [0.7500, 0.7500, 0.7500], [0.5000, 0.5000, 0.5000]], "volume_a3_per_cell": 143.3, "rho_g_cm3": 7.71}

***

Stability, descending: A), B)

***

A) {"formula": "PrEuTh", "functional": "PBE", "state": "optimized geometry", "cell": [[-2.8545, -0.3846, -2.2758], [1.9118, -2.9487, 1.0609], [-5.5924, -1.0391, 7.1901]], "species": ["Pr", "Th", "Eu"], "fractional_positions": [[0.3333, 0.6667, 0.6511], [0.6667, 0.3333, 0.3385], [0.0000, 0.0000, 0.0104]], "volume_a3_per_cell": 107.0, "rho_g_cm3": 8.15}

***

B) {"formula": "PrEuTh", "functional": "PBE", "state": "optimized geometry", "cell": [[3.6670, 0.0000, 0.0000], [0.0000, 3.6670, 0.0000], [-1.8335, -1.8335, 8.0065]], "species": ["Eu", "Pr", "Th"], "fractional_positions": [[0.9934, 0.9934, 0.9869], [0.6775, 0.6775, 0.3550], [0.3290, 0.3290, 0.6581]], "volume_a3_per_cell": 107.7, "rho_g_cm3": 8.10}

***

Stability, descending: A), B)

***

A) {"formula": "PrEu2Tl", "functional": "PBE", "state": "optimized geometry", "cell": [[3.7775, 0.0000, 0.0000], [0.0000, 3.7775, 0.0000], [0.0000, 0.0000, 9.8621]], "species": ["Pr", "Tl", "Eu", "Eu"], "fractional_positions": [[0.5000, 0.5000, 0.5000], [0.5000, 0.5000, 0.0000], [0.0000, 0.0000, 0.2174], [0.0000, 0.0000, 0.7826]], "volume_a3_per_cell": 140.7, "rho_g_cm3": 7.66}

***

B) {"formula": "PrEu2Tl", "functional": "PBE", "state": "optimized geometry", "cell": [[-0.9141, -5.1450, -2.2924], [3.5833, -4.2984, 1.1162], [-1.6872, -4.3364, 3.3031]], "species": ["Tl", "Pr", "Eu", "Eu"], "fractional_positions": [[0.0000, 0.0000, 0.0000], [0.5000, 0.5000, 0.5000], [0.7500, 0.7500, 0.7500], [0.2500, 0.2500, 0.2500]], "volume_a3_per_cell": 131.4, "rho_g_cm3": 8.21}

***

Stability, descending: A), B)